(1)
DFT (PBE-GGA) results for a geometry-optimized BaGaAg2 structure.

Geometry as CIF:
```
data_BaGaAg2
_chemical_formula_sum 'Ba2 Ga2 Ag4'
_space_group_name_H-M_alt 'P 1'
_space_group_IT_number 1
_cell_length_a 5.362
_cell_length_b 5.362
_cell_length_c 9.621
_cell_angle_alpha 73.82
_cell_angle_beta 73.82
_cell_angle_gamma 90.00
loop_
_space_group_symop_operation_xyz
'x,y,z'
loop_
_atom_site_label
_atom_site_type_symbol
_atom_site_fract_x
_atom_site_fract_y
_atom_site_fract_z
_atom_site_occupancy
Ag1 Ag 0.375 0.125 0.250 1
Ag2 Ag 0.375 0.625 0.750 1
Ag3 Ag 0.875 0.625 0.750 1
Ag4 Ag 0.375 0.625 0.250 1
Ga1 Ga 0.250 0.750 0.500 1
Ga2 Ga 0.500 0.500 0.000 1
Ba1 Ba 0.000 0.000 0.000 1
Ba2 Ba 0.750 0.250 0.500 1
```

Output
E_form = -0.130 eV per atom
Crystal system = tetragonal

***

(2)
DFT (PBE-GGA) results for a geometry-optimized DyHo3Er6Th2 structure.

Geometry as CIF:
```
data_DyHo3Er6Th2
_chemical_formula_sum 'Dy1 Ho3 Er6 Th2'
_space_group_name_H-M_alt 'P 1'
_space_group_IT_number 1
_cell_length_a 6.117
_cell_length_b 6.117
_cell_length_c 11.664
_cell_angle_alpha 95.03
_cell_angle_beta 95.03
_cell_angle_gamma 119.95
loop_
_space_group_symop_operation_xyz
'x,y,z'
loop_
_atom_site_label
_atom_site_type_symbol
_atom_site_fract_x
_atom_site_fract_y
_atom_site_fract_z
_atom_site_occupancy
Er1 Er 0.580 0.917 0.751 1
Er2 Er 0.917 0.580 0.751 1
Er3 Er 0.083 0.420 0.249 1
Er4 Er 0.746 0.746 0.249 1
Er5 Er 0.420 0.083 0.249 1
Er6 Er 0.254 0.254 0.751 1
Dy1 Dy 0.000 0.000 0.000 1
Ho1 Ho 0.166 0.834 0.500 1
Ho2 Ho 0.834 0.166 0.500 1
Ho3 Ho 0.500 0.500 0.500 1
Th1 Th 0.333 0.667 0.000 1
Th2 Th 0.667 0.333 0.000 1
```

Output
E_form = 0.024 eV per atom
Crystal system = monoclinic

***

(3)
DFT (PBE-GGA) results for a geometry-optimized MgHg3P structure.

Geometry as CIF:
```
data_MgHg3P
_chemical_formula_sum 'Mg1 Hg3 P1'
_space_group_name_H-M_alt 'P 1'
_space_group_IT_number 1
_cell_length_a 5.168
_cell_length_b 5.168
_cell_length_c 5.168
_cell_angle_alpha 90.00
_cell_angle_beta 90.00
_cell_angle_gamma 90.00
loop_
_space_group_symop_operation_xyz
'x,y,z'
loop_
_atom_site_label
_atom_site_type_symbol
_atom_site_fract_x
_atom_site_fract_y
_atom_site_fract_z
_atom_site_occupancy
Mg1 Mg 0.500 0.500 0.500 1
Hg1 Hg 0.000 0.500 0.000 1
Hg2 Hg 0.500 0.000 0.000 1
Hg3 Hg 0.000 0.000 0.500 1
P1 P 0.000 0.000 0.000 1
```

Output
E_form = 0.303 eV per atom
Crystal system = cubic

***

(4)
DFT (PBE-GGA) results for a geometry-optimized Tb2PrNd4Mg structure.

Geometry as CIF:
```
data_Tb2PrNd4Mg
_chemical_formula_sum 'Tb2 Pr1 Nd4 Mg1'
_space_group_name_H-M_alt 'P 1'
_space_group_IT_number 1
_cell_length_a 5.903
_cell_length_b 9.625
_cell_length_c 5.901
_cell_angle_alpha 52.20
_cell_angle_beta 90.00
_cell_angle_gamma 90.00
loop_
_space_group_symop_operation_xyz
'x,y,z'
loop_
_atom_site_label
_atom_site_type_symbol
_atom_site_fract_x
_atom_site_fract_y
_atom_site_fract_z
_atom_site_occupancy
Tb1 Tb 0.500 0.000 0.500 1
Tb2 Tb 0.000 0.000 0.000 1
Nd1 Nd 0.000 0.742 0.757 1
Nd2 Nd 0.500 0.742 0.258 1
Nd3 Nd 0.000 0.258 0.243 1
Nd4 Nd 0.500 0.258 0.742 1
Pr1 Pr 0.500 0.500 0.000 1
Mg1 Mg 0.000 0.500 0.500 1
```

Output
E_form = 0.067 eV per atom
Crystal system = tetragonal

***

(5)
DFT (PBE-GGA) results for a geometry-optimized Tb3Ce2SmY6 structure.

Geometry as CIF:
```
data_Tb3Ce2SmY6
_chemical_formula_sum 'Tb3 Ce2 Sm1 Y6'
_space_group_name_H-M_alt 'P 1'
_space_group_IT_number 1
_cell_length_a 6.180
_cell_length_b 6.180
_cell_length_c 11.797
_cell_angle_alpha 95.01
_cell_angle_beta 95.01
_cell_angle_gamma 120.00
loop_
_space_group_symop_operation_xyz
'x,y,z'
loop_
_atom_site_label
_atom_site_type_symbol
_atom_site_fract_x
_atom_site_fract_y
_atom_site_fract_z
_atom_site_occupancy
Tb1 Tb 0.166 0.834 0.500 1
Tb2 Tb 0.834 0.166 0.500 1
Tb3 Tb 0.500 0.500 0.500 1
Ce1 Ce 0.333 0.667 0.000 1
Ce2 Ce 0.667 0.333 0.000 1
Y1 Y 0.252 0.252 0.751 1
Y2 Y 0.917 0.581 0.751 1
Y3 Y 0.581 0.917 0.751 1
Y4 Y 0.083 0.419 0.249 1
Y5 Y 0.748 0.748 0.249 1
Y6 Y 0.419 0.083 0.249 1
Sm1 Sm 0.000 0.000 0.000 1
```

Output
E_form = 0.051 eV per atom
Crystal system = monoclinic

***

(6)
DFT (PBE-GGA) results for a geometry-optimized ZnGa8Pd6 structure.

Geometry as CIF:
```
data_ZnGa8Pd6
_chemical_formula_sum 'Zn1 Ga8 Pd6'
_space_group_name_H-M_alt 'P 1'
_space_group_IT_number 1
_cell_length_a 6.770
_cell_length_b 6.770
_cell_length_c 6.770
_cell_angle_alpha 66.61
_cell_angle_beta 66.61
_cell_angle_gamma 66.61
loop_
_space_group_symop_operation_xyz
'x,y,z'
loop_
_atom_site_label
_atom_site_type_symbol
_atom_site_fract_x
_atom_site_fract_y
_atom_site_fract_z
_atom_site_occupancy
Ga1 Ga 0.208 0.556 0.878 1
Ga2 Ga 0.878 0.208 0.556 1
Ga3 Ga 0.556 0.878 0.208 1
Ga4 Ga 0.333 0.333 0.333 1
Ga5 Ga 0.667 0.667 0.667 1
Ga6 Ga 0.122 0.792 0.444 1
Ga7 Ga 0.444 0.122 0.792 1
Ga8 Ga 0.792 0.444 0.122 1
Pd1 Pd 0.284 0.949 0.612 1
Pd2 Pd 0.949 0.612 0.284 1
Pd3 Pd 0.388 0.716 0.051 1
Pd4 Pd 0.051 0.388 0.716 1
Pd5 Pd 0.716 0.051 0.388 1
Pd6 Pd 0.612 0.284 0.949 1
Zn1 Zn 0.000 0.000 0.000 1
```

Output
E_form = -0.520 eV per atom
Crystal system = trigonal

***

(7)
DFT (PBE-GGA) results for a geometry-optimized Re2Os4Ru3 structure.

Geometry as CIF:
```
data_Re2Os4Ru3
_chemical_formula_sum 'Re4 Os8 Ru6'
_space_group_name_H-M_alt 'P 1'
_space_group_IT_number 1
_cell_length_a 4.702
_cell_length_b 7.714
_cell_length_c 7.713
_cell_angle_alpha 73.94
_cell_angle_beta 83.21
_cell_angle_gamma 83.21
loop_
_space_group_symop_operation_xyz
'x,y,z'
loop_
_atom_site_label
_atom_site_type_symbol
_atom_site_fract_x
_atom_site_fract_y
_atom_site_fract_z
_atom_site_occupancy
Re1 Re 0.172 0.757 0.488 1
Re2 Re 0.328 0.512 0.243 1
Re3 Re 0.672 0.488 0.757 1
Re4 Re 0.828 0.243 0.512 1
Os1 Os 0.482 0.899 0.208 1
Os2 Os 0.018 0.792 0.101 1
Os3 Os 0.342 0.137 0.426 1
Os4 Os 0.982 0.208 0.899 1
Os5 Os 0.842 0.426 0.137 1
Os6 Os 0.518 0.101 0.792 1
Os7 Os 0.158 0.574 0.863 1
Os8 Os 0.658 0.863 0.574 1
Ru1 Ru 0.570 0.750 0.928 1
Ru2 Ru 0.250 0.411 0.589 1
Ru3 Ru 0.430 0.250 0.072 1
Ru4 Ru 0.930 0.072 0.250 1
Ru5 Ru 0.070 0.928 0.750 1
Ru6 Ru 0.750 0.589 0.411 1
```

Output
E_form = 0.255 eV per atom
Crystal system = monoclinic

***

(8)
DFT (PBE-GGA) results for a geometry-optimized Pr2ScAg structure.

Geometry as CIF:
```
data_Pr2ScAg
_chemical_formula_sum 'Pr2 Sc1 Ag1'
_space_group_name_H-M_alt 'P 1'
_space_group_IT_number 1
_cell_length_a 5.434
_cell_length_b 5.434
_cell_length_c 5.434
_cell_angle_alpha 60.00
_cell_angle_beta 60.00
_cell_angle_gamma 60.00
loop_
_space_group_symop_operation_xyz
'x,y,z'
loop_
_atom_site_label
_atom_site_type_symbol
_atom_site_fract_x
_atom_site_fract_y
_atom_site_fract_z
_atom_site_occupancy
Sc1 Sc 0.500 0.500 0.500 1
Pr1 Pr 0.750 0.750 0.750 1
Pr2 Pr 0.250 0.250 0.250 1
Ag1 Ag 0.000 0.000 0.000 1
```

Output
E_form = 0.045 eV per atom
Crystal system = cubic

***

(9)
DFT (PBE-GGA) results for a geometry-optimized Pm2DySi6 structure.

Geometry as CIF:
```
data_Pm2DySi6
_chemical_formula_sum 'Pm2 Dy1 Si6'
_space_group_name_H-M_alt 'P 1'
_space_group_IT_number 1
_cell_length_a 4.055
_cell_length_b 7.134
_cell_length_c 7.134
_cell_angle_alpha 120.00
_cell_angle_beta 90.00
_cell_angle_gamma 90.00
loop_
_space_group_symop_operation_xyz
'x,y,z'
loop_
_atom_site_label
_atom_site_type_symbol
_atom_site_fract_x
_atom_site_fract_y
_atom_site_fract_z
_atom_site_occupancy
Si1 Si 0.500 0.331 0.000 1
Si2 Si 0.500 0.669 0.669 1
Si3 Si 0.500 0.000 0.331 1
Si4 Si 0.500 0.331 0.331 1
Si5 Si 0.500 0.000 0.669 1
Si6 Si 0.500 0.669 0.000 1
Pm1 Pm 0.000 0.333 0.667 1
Pm2 Pm 0.000 0.667 0.333 1
Dy1 Dy 0.000 0.000 0.000 1
```

Output
Crystal system = hexagonal
ΔE_f (raw) = -0.558 eV per atom

***

(10)
DFT (PBE-GGA) results for a geometry-optimized InAgIr2 structure.

Geometry as CIF:
```
data_InAgIr2
_chemical_formula_sum 'In1 Ag1 Ir2'
_space_group_name_H-M_alt 'P 1'
_space_group_IT_number 1
_cell_length_a 2.868
_cell_length_b 2.868
_cell_length_c 9.263
_cell_angle_alpha 90.00
_cell_angle_beta 90.00
_cell_angle_gamma 117.47
loop_
_space_group_symop_operation_xyz
'x,y,z'
loop_
_atom_site_label
_atom_site_type_symbol
_atom_site_fract_x
_atom_site_fract_y
_atom_site_fract_z
_atom_site_occupancy
Ir1 Ir 0.000 0.000 0.993 1
Ir2 Ir 0.000 0.000 0.507 1
Ag1 Ag 0.500 0.500 0.250 1
In1 In 0.500 0.500 0.750 1
```

Output
E_form = 0.370 eV per atom
Crystal system = orthorhombic

***

(11)
DFT (PBE-GGA) results for a geometry-optimized Tb2Si3Tc2 structure.

Geometry as CIF:
```
data_Tb2Si3Tc2
_chemical_formula_sum 'Tb2 Si3 Tc2'
_space_group_name_H-M_alt 'P 1'
_space_group_IT_number 1
_cell_length_a 4.286
_cell_length_b 7.047
_cell_length_c 6.092
_cell_angle_alpha 125.91
_cell_angle_beta 110.60
_cell_angle_gamma 90.00
loop_
_space_group_symop_operation_xyz
'x,y,z'
loop_
_atom_site_label
_atom_site_type_symbol
_atom_site_fract_x
_atom_site_fract_y
_atom_site_fract_z
_atom_site_occupancy
Tc1 Tc 0.233 0.361 0.465 1
Tc2 Tc 0.767 0.639 0.535 1
Si1 Si 0.000 0.000 0.000 1
Si2 Si 0.138 0.594 0.277 1
Si3 Si 0.862 0.406 0.723 1
Tb1 Tb 0.423 0.176 0.847 1
Tb2 Tb 0.577 0.824 0.153 1
```

Output
Crystal system = monoclinic
ΔE_f (raw) = -0.607 eV per atom

***

(12)
DFT (PBE-GGA) results for a geometry-optimized Y2Fe2Co5Si structure.

Geometry as CIF:
```
data_Y2Fe2Co5Si
_chemical_formula_sum 'Y4 Fe4 Co10 Si2'
_space_group_name_H-M_alt 'P 1'
_space_group_IT_number 1
_cell_length_a 3.143
_cell_length_b 9.552
_cell_length_c 9.552
_cell_angle_alpha 90.00
_cell_angle_beta 90.00
_cell_angle_gamma 90.00
loop_
_space_group_symop_operation_xyz
'x,y,z'
loop_
_atom_site_label
_atom_site_type_symbol
_atom_site_fract_x
_atom_site_fract_y
_atom_site_fract_z
_atom_site_occupancy
Y1 Y 0.000 0.826 0.674 1
Y2 Y 0.000 0.674 0.174 1
Y3 Y 0.000 0.174 0.326 1
Y4 Y 0.000 0.326 0.826 1
Co1 Co 0.500 0.944 0.192 1
Co2 Co 0.500 0.056 0.808 1
Co3 Co 0.500 0.556 0.692 1
Co4 Co 0.500 0.500 0.000 1
Co5 Co 0.500 0.808 0.944 1
Co6 Co 0.500 0.308 0.556 1
Co7 Co 0.500 0.444 0.308 1
Co8 Co 0.500 0.000 0.500 1
Co9 Co 0.500 0.192 0.056 1
Co10 Co 0.500 0.692 0.444 1
Fe1 Fe 0.000 0.630 0.870 1
Fe2 Fe 0.000 0.870 0.370 1
Fe3 Fe 0.000 0.370 0.130 1
Fe4 Fe 0.000 0.130 0.630 1
Si1 Si 0.000 0.500 0.500 1
Si2 Si 0.000 0.000 0.000 1
```

Output
Crystal system = tetragonal
ΔE_f (raw) = -0.072 eV per atom